Entry 1:
First-principles (PBE) data for TaF5 after structural relaxation, as listed in Alexandria.

Summary:
Electronic total energy   -6.7580 eV per atom
ΔE_f (raw)   -3223 meV/atom
Space-group type   C2/m, No. 12
Magnetization   0.000 μB/atom

```
TaF5
1.0
4.947 -7.416 0.000
4.947 7.416 0.000
-0.484 0.000 5.305
Ta F
4 20
Cartesian
4.947 4.465 0.000
2.180 0.000 3.997
7.230 0.000 1.308
4.947 -4.465 0.000
0.770 1.393 4.674
3.595 4.747 3.656
1.104 0.000 2.449
3.725 3.229 0.654
0.770 -1.393 4.674
3.289 1.393 3.472
5.815 4.747 1.648
3.229 0.000 0.495
5.686 3.229 4.651
3.289 -1.393 3.472
6.121 1.393 1.833
3.725 -3.229 0.654
6.182 0.000 4.810
3.595 -4.747 3.656
6.121 -1.393 1.833
8.640 1.393 0.631
5.686 -3.229 4.651
8.306 0.000 2.856
5.815 -4.747 1.648
8.640 -1.393 0.631
```

Entry 2:
First-principles (PBE) data for TePbW2I after structural relaxation, as listed in Alexandria.

Summary:
Electronic total energy   -4.3800 eV per atom
ΔE_f (raw)   2481 meV/atom
Space-group type   P4/mmm, No. 123
Magnetization   1.345 μB/atom

```
TePbW2I
1.0
5.459 0.000 0.000
0.000 5.459 0.000
0.000 0.000 5.838
Te Pb W I
1 1 2 1
Cartesian
0.000 0.000 0.000
2.729 2.729 2.919
0.000 2.729 2.919
2.729 0.000 2.919
2.729 2.729 0.000
```

Entry 3:
First-principles (PBE) data for KNa2TeSe4 after structural relaxation, as listed in Alexandria.

Summary:
Electronic total energy   -3.1579 eV per atom
ΔE_f (raw)   -556 meV/atom
Space-group type   Imma, No. 74
Magnetization   0.103 μB/atom

```
KNa2TeSe4
1.0
-3.927 4.714 6.173
3.927 -4.714 6.173
3.927 4.714 -6.173
K Na Te Se
2 4 2 8
Cartesian
0.000 0.000 0.000
0.000 4.714 0.000
3.927 0.000 0.000
-1.963 2.357 3.087
0.000 0.000 6.173
1.963 2.357 3.087
1.963 2.357 -3.087
1.963 -2.357 3.087
3.927 -0.294 3.037
3.927 4.420 -3.037
2.300 2.357 -0.209
5.553 2.357 -0.209
-1.627 2.357 6.382
1.627 2.357 6.382
0.000 0.294 9.210
0.000 5.008 3.136
```

Entry 4:
First-principles (PBE) data for TaCuPbSe2 after structural relaxation, as listed in Alexandria.

Summary:
Electronic total energy   -3.6167 eV per atom
ΔE_f (raw)   1709 meV/atom
Space-group type   P4/mmm, No. 123
Magnetization   0.533 μB/atom

```
TaCuPbSe2
1.0
5.457 0.000 0.000
0.000 5.457 0.000
0.000 0.000 5.445
Ta Cu Pb Se
1 1 1 2
Cartesian
0.000 0.000 0.000
2.728 2.728 0.000
0.000 0.000 2.722
0.000 2.728 2.722
2.728 0.000 2.722
```

Entry 5:
First-principles (PBE) data for InAg2Bi2 after structural relaxation, as listed in Alexandria.

Summary:
Electronic total energy   -3.1245 eV per atom
Space-group type   P4/mbm, No. 127
Magnetization   0.000 μB/atom
Formation enthalpy at 0 K   0.6 eV/f.u.

```
InAg2Bi2
1.0
8.966 0.000 0.000
0.000 8.966 0.000
0.000 0.000 3.281
In Ag Bi
2 4 4
Cartesian
0.000 0.000 0.000
4.483 4.483 0.000
1.322 3.161 0.000
3.161 7.644 0.000
5.805 1.322 0.000
7.644 5.805 0.000
1.345 5.828 1.640
3.138 1.345 1.640
5.828 7.621 1.640
7.621 3.138 1.640
```

Entry 6:
First-principles (PBE) data for TlTe2As after structural relaxation, as listed in Alexandria.

Summary:
Electronic total energy   -3.1364 eV per atom
ΔE_f (raw)   188 meV/atom
Space-group type   P4/mmm, No. 123
Magnetization   0.000 μB/atom

```
TlTe2As
1.0
3.620 0.000 0.000
0.000 3.620 0.000
0.000 0.000 8.605
Tl Te As
1 2 1
Cartesian
0.000 0.000 0.000
1.810 1.810 2.512
1.810 1.810 6.094
0.000 0.000 4.303
```

Entry 7:
First-principles (PBE) data for Tb2NdDy5 after structural relaxation, as listed in Alexandria.

Summary:
Electronic total energy   -4.6131 eV per atom
Space-group type   P-1, No. 2
Magnetization   0.000 μB/atom
Formation enthalpy at 0 K   0.1 eV/f.u.

```
Tb2NdDy5
1.0
6.180 0.000 0.000
1.046 9.350 0.000
3.083 1.006 8.856
Tb Nd Dy
4 2 10
Cartesian
2.057 0.459 1.391
3.092 3.043 3.592
7.217 7.313 5.264
8.252 9.898 7.464
4.115 2.255 6.919
6.194 8.101 1.937
2.066 3.843 0.282
4.126 9.001 4.706
4.125 5.631 5.807
3.101 6.406 2.492
5.163 8.202 8.023
5.146 2.155 0.833
7.208 3.950 6.363
6.184 4.725 3.048
6.183 1.355 4.150
8.243 6.513 8.574
```

Entry 8:
First-principles (PBE) data for La2ScTlRu after structural relaxation, as listed in Alexandria.

Summary:
Electronic total energy   -5.8071 eV per atom
Space-group type   P4/mmm, No. 123
Magnetization   0.000 μB/atom
Formation enthalpy at 0 K   -1.2 eV/f.u.

```
La2ScTlRu
1.0
5.490 0.000 0.000
0.000 5.490 0.000
0.000 0.000 5.069
La Sc Tl Ru
2 1 1 1
Cartesian
0.000 2.745 0.000
2.745 0.000 0.000
0.000 0.000 2.534
2.745 2.745 2.534
0.000 0.000 0.000
```

Entry 9:
First-principles (PBE) data for NdHoSc2 after structural relaxation, as listed in Alexandria.

Summary:
Electronic total energy   -5.4214 eV per atom
Space-group type   Fm-3m, No. 225
Magnetization   0.000 μB/atom
Formation enthalpy at 0 K   0.3 eV/f.u.

```
NdHoSc2
1.0
0.000 3.853 3.853
3.853 0.000 3.853
3.853 3.853 0.000
Nd Ho Sc
1 1 2
Cartesian
0.000 0.000 0.000
3.853 3.853 3.853
1.926 1.926 1.926
5.779 5.779 5.779
```

Entry 10:
First-principles (PBE) data for ErZrCd6 after structural relaxation, as listed in Alexandria.

Summary:
Electronic total energy   -2.4830 eV per atom
Space-group type   P4/mmm, No. 123
Magnetization   0.000 μB/atom
Formation enthalpy at 0 K   -1.3 eV/f.u.

```
ErZrCd6
1.0
4.577 0.000 0.000
0.000 4.577 0.000
0.000 0.000 8.649
Er Zr Cd
1 1 6
Cartesian
0.000 0.000 0.000
0.000 0.000 4.325
0.000 2.289 2.233
0.000 2.289 6.416
2.289 0.000 2.233
2.289 0.000 6.416
2.289 2.289 0.000
2.289 2.289 4.325
```

Entry 11:
First-principles (PBE) data for Rb3LaCu after structural relaxation, as listed in Alexandria.

Summary:
Electronic total energy   -1.2135 eV per atom
Space-group type   Pm-3m, No. 221
Magnetization   0.635 μB/atom
Formation enthalpy at 0 K   5.9 eV/f.u.

```
Rb3LaCu
1.0
7.368 0.000 0.000
0.000 7.368 0.000
0.000 0.000 7.368
Rb La Cu
3 1 1
Cartesian
0.000 0.000 3.684
0.000 3.684 0.000
3.684 0.000 0.000
0.000 0.000 0.000
3.684 3.684 3.684
```

Entry 12:
First-principles (PBE) data for PuAgAs2 after structural relaxation, as listed in Alexandria.

Summary:
Electronic total energy   -6.9679 eV per atom
Space-group type   R-3m, No. 166
Magnetization   1.201 μB/atom
Formation enthalpy at 0 K   -1.4 eV/f.u.

```
PuAgAs2
1.0
2.178 1.257 5.254
-2.178 1.257 5.254
0.000 -2.515 5.254
Pu Ag As
1 1 2
Cartesian
0.000 0.000 0.000
0.000 0.000 7.880
0.000 0.000 3.889
0.000 0.000 11.872
```

Entry 13:
First-principles (PBE) data for CdPOsS2 after structural relaxation, as listed in Alexandria.

Summary:
Electronic total energy   -3.2317 eV per atom
ΔE_f (raw)   1930 meV/atom
Space-group type   P4/mmm, No. 123
Magnetization   0.660 μB/atom

```
CdPOsS2
1.0
4.851 0.000 0.000
0.000 4.851 0.000
0.000 0.000 4.935
Cd P Os S
1 1 1 2
Cartesian
0.000 0.000 0.000
0.000 0.000 2.468
2.426 2.426 2.468
0.000 2.426 0.000
2.426 0.000 0.000
```

Entry 14:
First-principles (PBE) data for Tl2Cd15In2 after structural relaxation, as listed in Alexandria.

Summary:
Electronic total energy   -1.2273 eV per atom
Space-group type   R-3m, No. 166
Magnetization   0.000 μB/atom
Formation enthalpy at 0 K   0.6 eV/f.u.

```
Tl2Cd15In2
1.0
5.257 3.035 4.969
-5.257 3.035 4.969
0.000 -6.071 4.969
Tl Cd In
2 15 2
Cartesian
0.000 0.000 2.280
0.000 0.000 12.629
-2.629 -1.518 4.969
0.000 -3.145 4.748
-2.723 1.572 4.748
-1.622 -2.809 7.454
-3.244 0.000 7.454
-2.723 -1.572 10.161
-2.629 1.518 9.939
1.622 -2.809 7.454
0.000 3.035 4.969
-1.622 2.809 7.454
2.723 1.572 4.748
3.244 0.000 7.454
1.622 2.809 7.454
2.723 -1.572 10.161
0.000 3.145 10.161
0.000 0.000 5.897
0.000 0.000 9.012
```

Entry 15:
First-principles (PBE) data for Li2CdOs after structural relaxation, as listed in Alexandria.

Summary:
Electronic total energy   -3.6927 eV per atom
Space-group type   P4mm, No. 99
Magnetization   0.111 μB/atom
Formation enthalpy at 0 K   1.2 eV/f.u.

```
Li2CdOs
1.0
2.721 0.000 0.000
0.000 2.721 0.000
0.000 0.000 8.954
Li Cd Os
2 1 1
Cartesian
0.000 0.000 0.000
1.361 1.361 2.508
1.361 1.361 6.772
0.000 0.000 4.473
```

Entry 16:
First-principles (PBE) data for LaSbOs2 after structural relaxation, as listed in Alexandria.

Summary:
Electronic total energy   -7.5936 eV per atom
ΔE_f (raw)   284 meV/atom
Space-group type   P4mm, No. 99
Magnetization   0.000 μB/atom

```
LaSbOs2
1.0
3.166 0.000 0.000
0.000 3.166 0.000
0.000 0.000 8.147
La Sb Os
1 1 2
Cartesian
0.000 0.000 0.000
1.583 1.583 5.363
0.000 0.000 3.697
1.583 1.583 2.098
```

Entry 17:
First-principles (PBE) data for CuAu2Br after structural relaxation, as listed in Alexandria.

Summary:
Electronic total energy   -2.8588 eV per atom
ΔE_f (raw)   222 meV/atom
Space-group type   Cmm2, No. 35
Magnetization   0.000 μB/atom

```
CuAu2Br
1.0
1.604 -2.603 0.000
1.604 2.603 0.000
0.000 0.000 9.348
Cu Au Br
1 2 1
Cartesian
0.000 0.000 0.000
0.000 0.000 4.964
1.604 0.000 7.320
1.604 0.000 1.869
```

Entry 18:
First-principles (PBE) data for LaTb2Er5Th after structural relaxation, as listed in Alexandria.

Summary:
Electronic total energy   -4.7637 eV per atom
Space-group type   Cmc2_1, No. 36
Magnetization   0.000 μB/atom
Formation enthalpy at 0 K   1.5 eV/f.u.

```
LaTb2Er5Th
1.0
2.801 -9.878 0.000
2.801 9.878 0.000
0.000 0.000 10.517
La Tb Er Th
2 4 10 2
Cartesian
2.801 8.223 5.258
2.801 -8.223 0.000
2.801 2.223 3.883
2.801 2.230 8.246
2.801 -2.230 2.988
2.801 -2.223 9.141
2.801 9.465 8.271
2.801 7.633 0.792
2.801 5.845 8.001
2.801 5.488 3.856
2.801 0.325 0.823
2.801 -0.325 6.082
2.801 -5.488 9.115
2.801 -5.845 2.742
2.801 -7.633 6.050
2.801 -9.465 3.013
2.801 4.012 0.681
2.801 -4.012 5.939
```

Entry 19:
First-principles (PBE) data for Rb3Bi2Pb4 after structural relaxation, as listed in Alexandria.

Summary:
Electronic total energy   -2.9972 eV per atom
Space-group type   P-1, No. 2
Magnetization   0.000 μB/atom
Formation enthalpy at 0 K   -1.5 eV/f.u.

```
Rb3Bi2Pb4
1.0
5.595 0.000 0.000
-2.667 7.099 0.000
-1.832 -2.488 9.413
Rb Bi Pb
3 2 4
Cartesian
0.000 0.000 0.000
-2.156 4.532 6.127
3.252 0.078 3.286
-2.139 4.387 2.506
3.234 0.223 6.906
-1.622 1.999 9.329
0.615 2.814 2.989
0.481 1.796 6.424
2.718 2.612 0.084
```

Entry 20:
First-principles (PBE) data for AcTbPm5Nd2 after structural relaxation, as listed in Alexandria.

Summary:
Electronic total energy   -4.4194 eV per atom
Space-group type   I4/mcm, No. 140
Magnetization   0.000 μB/atom
Formation enthalpy at 0 K   2.3 eV/f.u.

```
AcTbPm5Nd2
1.0
-4.497 4.497 7.955
4.497 -4.497 7.955
4.497 4.497 -7.955
Ac Tb Pm Nd
2 2 10 4
Cartesian
0.000 0.000 3.978
0.000 0.000 11.933
4.497 0.000 3.978
0.000 4.497 3.978
0.000 0.000 0.000
6.340 1.843 -2.126
1.843 2.653 -2.126
6.340 1.843 2.126
1.843 2.653 2.126
0.000 0.000 7.955
2.653 1.843 5.829
-1.843 2.653 5.829
2.653 1.843 10.081
-1.843 2.653 10.081
3.443 1.054 0.000
3.443 -1.054 7.955
1.054 5.551 0.000
1.054 3.443 7.955
```

Entry 21:
First-principles (PBE) data for NdY3Tm after structural relaxation, as listed in Alexandria.

Summary:
Electronic total energy   -5.7197 eV per atom
Space-group type   P-1, No. 2
Magnetization   0.000 μB/atom
Formation enthalpy at 0 K   0.0 eV/f.u.

```
NdY3Tm
1.0
6.304 0.000 0.000
-3.143 5.982 0.000
-0.015 -3.209 8.693
Nd Y Tm
2 6 2
Cartesian
0.491 -0.518 3.018
2.655 3.291 5.675
-0.521 1.654 0.417
-0.535 2.763 3.894
0.539 0.600 6.529
2.607 2.173 2.163
3.681 0.010 4.799
3.667 1.119 8.275
2.625 -2.141 7.410
0.521 4.914 1.282
```

Entry 22:
First-principles (PBE) data for MgAsIr4 after structural relaxation, as listed in Alexandria.

Summary:
Electronic total energy   -6.7349 eV per atom
Space-group type   F-43m, No. 216
Magnetization   0.000 μB/atom
Formation enthalpy at 0 K   1.3 eV/f.u.

```
MgAsIr4
1.0
0.000 3.699 3.699
3.699 0.000 3.699
3.699 3.699 0.000
Mg As Ir
1 1 4
Cartesian
0.000 0.000 0.000
5.548 5.548 5.548
2.774 2.774 2.774
4.624 4.624 2.774
4.624 2.774 4.624
2.774 4.624 4.624
```

Entry 23:
First-principles (PBE) data for LiTbGe2Pd2 after structural relaxation, as listed in Alexandria.

Summary:
Electronic total energy   -5.1309 eV per atom
Space-group type   P-3m1, No. 164
Magnetization   0.000 μB/atom
Formation enthalpy at 0 K   -4.6 eV/f.u.

```
LiTbGe2Pd2
1.0
4.292 0.000 0.000
-2.146 3.717 0.000
0.000 0.000 6.621
Li Tb Ge Pd
1 1 2 2
Cartesian
0.000 0.000 0.000
0.000 0.000 3.311
0.000 2.478 5.074
2.146 1.239 1.547
0.000 2.478 1.038
2.146 1.239 5.583
```